Entry 1:
A relaxed Li2AcPb3 crystal, computed with PBE.

Results
formation energy from the elements	-2.1	eV/f.u.
density of states at the Fermi level	6.10	states/eV per cell

a = 5.0859 Å, b = 5.0859 Å, c = 15.0213 Å
α = 90.00°, β = 90.00°, γ = 120.00°
Space group P6_3/mmc (No. 194)
Unique sites:
Li 0.3333 0.6667 0.0842
Ac 0.0000 0.0000 0.2500
Pb 0.0000 0.0000 0.0000
Pb 0.3333 0.6667 0.6272


Entry 2:
A relaxed Li2AcPb crystal, computed with PBE.

Results
formation energy from the elements	-1.2	eV/f.u.
energy above the lowest structure with this stoichiometry	3	meV/atom
density of states at the Fermi level	8.05	states/eV per cell

a = 7.336 Å, b = 7.336 Å, c = 7.336 Å
α = 90.00°, β = 90.00°, γ = 90.00°
Space group Fm-3m (No. 225)
Unique sites:
Li 0.250 0.250 0.250
Ac 0.000 0.000 0.000
Pb 0.000 0.000 0.500


Entry 3:
A relaxed Li2AcPdPb crystal, computed with PBE.

Results
formation energy from the elements	-2.2	eV/f.u.
density of states at the Fermi level	3.97	states/eV per cell

a = 4.266 Å, b = 4.270 Å, c = 13.127 Å
α = 90.00°, β = 90.00°, γ = 90.00°
Space group Imm2 (No. 44)
Unique sites:
Li 0.000 0.000 0.000
Li 0.000 0.500 0.345
Ac 0.000 0.500 0.715
Pd 0.000 0.500 0.144
Pb 0.000 0.000 0.482


Entry 4:
A relaxed Li3Ac2PdPb4 crystal, computed with PBE.

Results
formation energy from the elements	-4.8	eV/f.u.
density of states at the Fermi level	2.86	states/eV per cell

a = 4.836 Å, b = 4.836 Å, c = 11.006 Å
α = 90.00°, β = 90.00°, γ = 90.00°
Space group P-4m2 (No. 115)
Unique sites:
Li 0.000 0.000 0.000
Li 0.000 0.500 0.631
Ac 0.000 0.500 0.237
Pd 0.500 0.500 0.000
Pb 0.000 0.000 0.500
Pb 0.000 0.500 0.876
Pb 0.500 0.500 0.500


Entry 5:
A relaxed LiAcPd2Pb crystal, computed with PBE.

Results
formation energy from the elements	-3.2	eV/f.u.
density of states at the Fermi level	5.25	states/eV per cell

a = 4.193 Å, b = 4.193 Å, c = 13.090 Å
α = 90.00°, β = 90.00°, γ = 90.00°
Space group I-4m2 (No. 119)
Unique sites:
Li 0.000 0.000 0.000
Ac 0.000 0.500 0.250
Pd 0.000 0.500 0.646
Pb 0.000 0.000 0.500


Entry 6:
A relaxed Li2AcPd4Pb crystal, computed with PBE.

Results
formation energy from the elements	-4.0	eV/f.u.
density of states at the Fermi level	11.83	states/eV per cell

a = 4.4530 Å, b = 4.4530 Å, c = 27.2811 Å
α = 90.00°, β = 90.00°, γ = 120.00°
Space group R-3m (No. 166, hexagonal axes)
Unique sites:
Li 0.0000 0.0000 0.2333
Ac 0.0000 0.0000 0.0000
Pd 0.0000 0.0000 0.1188
Pd 0.0000 0.0000 0.3979
Pb 0.0000 0.0000 0.5000


Entry 7:
A relaxed Li2Ac3Pd9Pb crystal, computed with PBE.

Results
formation energy from the elements	-7.4	eV/f.u.
density of states at the Fermi level	2.30	states/eV per cell

a = 5.9366 Å, b = 5.9366 Å, c = 11.1276 Å
α = 90.00°, β = 90.00°, γ = 120.00°
Space group P-3m1 (No. 164)
Unique sites:
Li 0.3333 0.6667 0.1525
Ac 0.0000 0.0000 0.0000
Ac 0.3333 0.6667 0.7408
Pd 0.0000 0.5000 0.0000
Pd 0.1655 0.3309 0.3048
Pb 0.0000 0.0000 0.5000


Entry 8:
A relaxed LiAcPd4Pb2 crystal, computed with PBE.

Results
formation energy from the elements	-4.1	eV/f.u.
density of states at the Fermi level	14.76	states/eV per cell

a = 4.6542 Å, b = 4.6542 Å, c = 26.8800 Å
α = 90.00°, β = 90.00°, γ = 120.00°
Space group R-3m (No. 166, hexagonal axes)
Unique sites:
Li 0.0000 0.0000 0.0000
Ac 0.0000 0.0000 0.5000
Pd 0.0000 0.0000 0.0991
Pd 0.0000 0.0000 0.3683
Pb 0.0000 0.0000 0.2636


Entry 9:
A relaxed LiAcPd5Pb2 crystal, computed with PBE.

Results
formation energy from the elements	-3.6	eV/f.u.
density of states at the Fermi level	3.49	states/eV per cell

a = 4.251 Å, b = 4.251 Å, c = 11.026 Å
α = 90.00°, β = 90.00°, γ = 90.00°
Space group P4/mmm (No. 123)
Unique sites:
Li 0.000 0.000 0.000
Ac 0.000 0.000 0.500
Pd 0.000 0.500 0.301
Pd 0.500 0.500 0.500
Pb 0.500 0.500 0.141


Entry 10:
A relaxed Li3Ac2PmPb4 crystal, computed with PBE.

Results
formation energy from the elements	-4.7	eV/f.u.
density of states at the Fermi level	2.20	states/eV per cell

a = 4.835 Å, b = 4.835 Å, c = 12.348 Å
α = 90.00°, β = 90.00°, γ = 90.00°
Space group P-4m2 (No. 115)
Unique sites:
Li 0.000 0.000 0.000
Li 0.000 0.500 0.622
Ac 0.000 0.500 0.274
Pm 0.500 0.500 0.000
Pb 0.000 0.000 0.500
Pb 0.000 0.500 0.842
Pb 0.500 0.500 0.500


Entry 11:
A relaxed Li2Ac2PmPb2 crystal, computed with PBE.

Results
formation energy from the elements	-2.4	eV/f.u.
density of states at the Fermi level	17.21	states/eV per cell

a = 4.8820 Å, b = 4.8820 Å, c = 31.9775 Å
α = 90.00°, β = 90.00°, γ = 120.00°
Space group R-3m (No. 166, hexagonal axes)
Unique sites:
Li 0.0000 0.0000 0.1173
Ac 0.0000 0.0000 0.3781
Pm 0.0000 0.0000 0.5000
Pb 0.0000 0.0000 0.2245


Entry 12:
A relaxed Li2AcPrPb2 crystal, computed with PBE.

Results
formation energy from the elements	-3.2	eV/f.u.
density of states at the Fermi level	1.72	states/eV per cell

a = 4.9158 Å, b = 4.9158 Å, c = 8.1512 Å
α = 90.00°, β = 90.00°, γ = 120.00°
Space group P-3m1 (No. 164)
Unique sites:
Li 0.3333 0.6667 0.2074
Ac 0.0000 0.0000 0.5000
Pr 0.0000 0.0000 0.0000
Pb 0.3333 0.6667 0.7662